Below is crystalline CaAl2Zn9 at its relaxed geometry, with properties calculated at the PBE level.

Properties
- Final energy: -89.48 eV/cell
- Energy relative to the elements: -0.118 eV per atom
- Calculated volume: 802.19 Å³/cell
- Polymorph energy (0 for the lowest one): 0 meV per atom
- Total magnetic moment: 0.00 μB per atom

Unit cell a=10.6850 b=10.6850 c=7.0263 alpha=90.00 beta=90.00 gamma=90.00
Space group I4_1/amd (No. 141, origin choice 2)
Asymmetric unit:
Ca 0.0000 0.2500 0.3750 [4 per cell]
Al 0.0000 0.0000 0.0000 [8 per cell]
Zn 0.0000 0.2500 0.8750 [4 per cell]
Zn 0.1210 0.0440 0.6737 [32 per cell]

***

Below is crystalline Ag5AsS4 at its relaxed geometry, with properties calculated at the PBE level.

Properties
- Final energy: -69.78 eV/cell
- Calculated volume: 400.81 Å³/cell
- Formation energy from raw total energies: 53 meV per atom
- Total magnetic moment: 0.00 μB per atom

Unit cell a=15.9606 b=3.8731 c=7.2401 alpha=90.00 beta=116.42 gamma=90.00
Space group C2/m (No. 12)
Asymmetric unit:
Ag 0.0000 0.0000 0.0000 [2 per cell]
Ag 0.1760 0.5000 0.9621 [4 per cell]
Ag 0.1772 0.5000 0.3858 [4 per cell]
As 0.0000 0.0000 0.5000 [2 per cell]
S 0.0016 0.5000 0.2559 [4 per cell]
S 0.1823 0.0000 0.6857 [4 per cell]

***

Below is crystalline HoHgPt2 at its relaxed geometry, with properties calculated at the PBE level.

Properties
- Final energy: -19.78 eV/cell
- Energy relative to the elements: -0.705 eV per atom
- Calculated volume: 77.09 Å³/cell
- Polymorph energy (0 for the lowest one): 57 meV per atom
- Total magnetic moment: 0.00 μB per atom

Unit cell a=4.3905 b=4.3905 c=3.9991 alpha=90.00 beta=90.00 gamma=90.00
Space group P4/mmm (No. 123)
Asymmetric unit:
Ho 0.0000 0.0000 0.0000 [1 per cell]
Hg 0.5000 0.5000 0.0000 [1 per cell]
Pt 0.0000 0.5000 0.5000 [2 per cell]